{"formula": "K3HoPu2O9", "functional": "PBE", "state": "optimized geometry", "sg": "P-3m1, No. 164", "formation_energy_uncorrected_kj_per_mol_atoms": -248, "energy_ev_per_atom": -7.978, "dos_ef_per_ev_fu": 8.73, "magmom_total_mub_per_fu": 4.000, "lattice": [[6.0449, 0.0000, 0.0000], [-3.0224, 5.2350, 0.0000], [0.0000, 0.0000, 7.4140]], "species": ["K", "K", "K", "Ho", "Pu", "Pu", "O", "O", "O", "O", "O", "O", "O", "O", "O"], "fractional_positions": [[0.0000, 0.0000, 0.0000], [0.3333, 0.6667, 0.6614], [0.6667, 0.3333, 0.3386], [0.0000, 0.0000, 0.5000], [0.3333, 0.6667, 0.1656], [0.6667, 0.3333, 0.8344], [0.0000, 0.5000, 0.0000], [0.1745, 0.3491, 0.3223], [0.1745, 0.8255, 0.3223], [0.3491, 0.1745, 0.6777], [0.5000, 0.0000, 0.0000], [0.5000, 0.5000, 0.0000], [0.6509, 0.8255, 0.3223], [0.8255, 0.1745, 0.6777], [0.8255, 0.6509, 0.6777]]}